Computed, not measured: a relaxed CsK2Ag3As2 crystal at the PBE-GGA level of DFT.

Calculated values
Its energy is -2.989 eV per atom. The calculation puts the theoretical density at 4.80 g/cm3.

a = 8.082 Å, b = 8.082 Å, c = 8.082 Å
α = 44.61°, β = 44.61°, γ = 44.61°
Sites, in units of the cell vectors:
Ag: 0.500 0.500 0.000
Ag: 0.500 0.000 0.500
Ag: 0.000 0.500 0.500
As: 0.247 0.247 0.247
As: 0.753 0.753 0.753
Cs: 0.500 0.500 0.500
K: 0.091 0.091 0.091
K: 0.909 0.909 0.909